[1]
Below is a relaxed structure of Ca2AgSnAu, with properties calculated at the PBE-GGA level.

a = 5.715 Å, b = 5.715 Å, c = 5.085 Å
α = 90.00°, β = 90.00°, γ = 90.00°
Fractional coordinates of all 5 atoms:
Ca 0.000 0.500 0.000
Ca 0.500 0.000 0.000
Ag 0.000 0.000 0.500
Sn 0.500 0.500 0.500
Au 0.500 0.500 0.000

## Properties
- crystal system = tetragonal
- D(E_F) (states/eV/cell) = 2.78
- energy of formation (eV/atom) = -0.15
- total DFT energy (no corrections) (eV/f.u.) = -14.9

[2]
Below is a relaxed structure of Pr4Y4Ho3, with properties calculated at the PBE-GGA level.

a = 3.555 Å, b = 5.677 Å, c = 18.419 Å
α = 98.84°, β = 95.53°, γ = 90.00°
Fractional coordinates of all 11 atoms:
Pr 0.046 0.047 0.092
Pr 0.179 0.680 0.359
Pr 0.821 0.320 0.641
Pr 0.954 0.953 0.908
Y 0.090 0.592 0.182
Y 0.233 0.233 0.466
Y 0.767 0.767 0.534
Y 0.910 0.408 0.818
Ho 0.363 0.863 0.726
Ho 0.500 0.500 0.000
Ho 0.637 0.137 0.274

## Properties
- crystal system = triclinic
- D(E_F) (states/eV/cell) = 18.43
- energy of formation (eV/atom) = 0.05
- total DFT energy (no corrections) (eV/f.u.) = -58.1

[3]
Below is a relaxed structure of NaLi3Mg4F12, with properties calculated at the PBE-GGA level.

a = 6.538 Å, b = 6.538 Å, c = 6.538 Å
α = 109.47°, β = 109.47°, γ = 109.47°
Fractional coordinates of all 20 atoms:
Na 0.000 0.000 0.000
Li 0.000 0.500 0.500
Li 0.500 0.000 0.500
Li 0.500 0.500 0.000
Mg 0.000 0.000 0.500
Mg 0.000 0.500 0.000
Mg 0.500 0.000 0.000
Mg 0.500 0.500 0.500
F 0.126 0.306 0.820
F 0.180 0.486 0.306
F 0.180 0.874 0.694
F 0.306 0.180 0.486
F 0.306 0.820 0.126
F 0.486 0.306 0.180
F 0.514 0.694 0.820
F 0.694 0.180 0.874
F 0.694 0.820 0.514
F 0.820 0.126 0.306
F 0.820 0.514 0.694
F 0.874 0.694 0.180

## Properties
- crystal system = cubic
- D(E_F) (states/eV/cell) = 0.00
- formation energy from raw total energies (eV/atom) = -3.2664
- total DFT energy (no corrections) (eV/f.u.) = -101.2

[4]
Below is a relaxed structure of Tb2Th, with properties calculated at the PBE-GGA level.

a = 9.477 Å, b = 9.477 Å, c = 14.238 Å
α = 124.65°, β = 124.65°, γ = 21.78°
Fractional coordinates of all 12 atoms:
Tb 0.055 0.055 0.379
Tb 0.163 0.163 0.872
Tb 0.167 0.167 0.126
Tb 0.276 0.276 0.625
Tb 0.724 0.724 0.375
Tb 0.833 0.833 0.874
Tb 0.837 0.837 0.128
Tb 0.945 0.945 0.621
Th 0.389 0.389 0.375
Th 0.498 0.498 0.122
Th 0.502 0.502 0.878
Th 0.611 0.611 0.625

## Properties
- crystal system = monoclinic
- energy above the most stable polymorph in this dataset (meV/atom) = 49.6
- D(E_F) (states/eV/cell) = 18.00
- energy of formation (eV/atom) = 0.04
- total DFT energy (no corrections) (eV/f.u.) = -16.6

[5]
Below is a relaxed structure of CdSb2TeW, with properties calculated at the PBE-GGA level.

a = 5.310 Å, b = 5.310 Å, c = 5.340 Å
α = 90.00°, β = 90.00°, γ = 90.00°
Fractional coordinates of all 5 atoms:
Cd 0.000 0.000 0.000
Sb 0.000 0.500 0.500
Sb 0.500 0.000 0.500
Te 0.500 0.500 0.000
W 0.500 0.500 0.500

## Properties
- crystal system = tetragonal
- energy above the most stable polymorph in this dataset (meV/atom) = 0.0
- D(E_F) (states/eV/cell) = 4.17
- formation energy from raw total energies (eV/atom) = 0.5811
- total DFT energy (no corrections) (eV/f.u.) = -22.3

[6]
Below is a relaxed structure of TiCrCl3, with properties calculated at the PBE-GGA level.

a = 4.893 Å, b = 4.893 Å, c = 4.893 Å
α = 90.00°, β = 90.00°, γ = 90.00°
Fractional coordinates of all 5 atoms:
Ti 0.000 0.000 0.000
Cr 0.500 0.500 0.500
Cl 0.000 0.500 0.500
Cl 0.500 0.000 0.500
Cl 0.500 0.500 0.000

## Properties
- crystal system = cubic
- energy above the most stable polymorph in this dataset (meV/atom) = 266.6
- D(E_F) (states/eV/cell) = 8.11
- formation energy from raw total energies (eV/atom) = -0.2841
- total DFT energy (no corrections) (eV/f.u.) = -24.5

[7]
Below is a relaxed structure of La4BiP2, with properties calculated at the PBE-GGA level.

a = 7.327 Å, b = 7.327 Å, c = 14.523 Å
α = 90.00°, β = 90.00°, γ = 145.27°
Fractional coordinates of all 14 atoms:
La 0.000 0.000 0.000
La 0.000 0.000 0.500
La 0.266 0.734 0.614
La 0.266 0.734 0.886
La 0.434 0.566 0.250
La 0.566 0.434 0.750
La 0.734 0.266 0.114
La 0.734 0.266 0.386
Bi 0.108 0.892 0.250
Bi 0.892 0.108 0.750
P 0.365 0.635 0.061
P 0.365 0.635 0.439
P 0.635 0.365 0.561
P 0.635 0.365 0.939

## Properties
- crystal system = orthorhombic
- D(E_F) (states/eV/cell) = 9.67
- energy of formation (eV/atom) = -1.23
- total DFT energy (no corrections) (eV/f.u.) = -43.0

[8]
Below is a relaxed structure of BaCa4Si, with properties calculated at the PBE-GGA level.

a = 6.988 Å, b = 6.988 Å, c = 6.988 Å
α = 60.00°, β = 60.00°, γ = 60.00°
Fractional coordinates of all 6 atoms:
Ba 0.000 0.000 0.000
Ca 0.129 0.624 0.624
Ca 0.624 0.129 0.624
Ca 0.624 0.624 0.129
Ca 0.624 0.624 0.624
Si 0.250 0.250 0.250

## Properties
- crystal system = cubic
- D(E_F) (states/eV/cell) = 6.03
- formation energy from raw total energies (eV/atom) = 0.3804
- total DFT energy (no corrections) (eV/f.u.) = -13.1

[9]
Below is a relaxed structure of CdRhCl2, with properties calculated at the PBE-GGA level.

a = 9.303 Å, b = 9.303 Å, c = 9.303 Å
α = 21.98°, β = 21.98°, γ = 21.98°
Fractional coordinates of all 4 atoms:
Cd 0.000 0.000 0.000
Rh 0.500 0.500 0.500
Cl 0.217 0.217 0.217
Cl 0.783 0.783 0.783

## Properties
- crystal system = trigonal
- energy above the most stable polymorph in this dataset (meV/atom) = 255.0
- D(E_F) (states/eV/cell) = 3.85
- formation energy from raw total energies (eV/atom) = -0.1081
- total DFT energy (no corrections) (eV/f.u.) = -12.4

[10]
Below is a relaxed structure of Be3FeW, with properties calculated at the PBE-GGA level.

a = 4.255 Å, b = 4.255 Å, c = 4.255 Å
α = 90.00°, β = 90.00°, γ = 90.00°
Fractional coordinates of all 5 atoms:
Be 0.000 0.000 0.500
Be 0.000 0.500 0.000
Be 0.500 0.000 0.000
Fe 0.500 0.500 0.500
W 0.000 0.000 0.000

## Properties
- crystal system = cubic
- energy above the most stable polymorph in this dataset (meV/atom) = 898.1
- D(E_F) (states/eV/cell) = 3.39
- energy of formation (eV/atom) = 1.62
- total DFT energy (no corrections) (eV/f.u.) = -24.5

[11]
Below is a relaxed structure of Ta2MnW, with properties calculated at the PBE-GGA level.

a = 5.174 Å, b = 5.174 Å, c = 2.818 Å
α = 100.72°, β = 100.72°, γ = 115.57°
Fractional coordinates of all 4 atoms:
Ta 0.000 0.500 0.000
Ta 0.500 0.000 0.000
Mn 0.000 0.000 0.500
W 0.500 0.500 0.500

## Properties
- crystal system = monoclinic
- D(E_F) (states/eV/cell) = 2.23
- energy of formation (eV/atom) = 0.03
- total DFT energy (no corrections) (eV/f.u.) = -45.7

[12]
Below is a relaxed structure of BeCo2Br, with properties calculated at the PBE-GGA level.

a = 4.023 Å, b = 4.023 Å, c = 2.960 Å
α = 90.00°, β = 90.00°, γ = 90.00°
Fractional coordinates of all 4 atoms:
Be 0.000 0.000 0.000
Co 0.000 0.500 0.500
Co 0.500 0.000 0.500
Br 0.500 0.500 0.000

## Properties
- crystal system = tetragonal
- energy above the most stable polymorph in this dataset (meV/atom) = 326.1
- D(E_F) (states/eV/cell) = 1.64
- formation energy from raw total energies (eV/atom) = 0.6457
- total DFT energy (no corrections) (eV/f.u.) = -17.0

[13]
Below is a relaxed structure of CrOs2Rh, with properties calculated at the PBE-GGA level.

a = 4.635 Å, b = 4.635 Å, c = 4.635 Å
α = 131.38°, β = 131.38°, γ = 71.21°
Fractional coordinates of all 4 atoms:
Cr 0.000 0.000 0.000
Os 0.250 0.750 0.500
Os 0.500 0.500 0.000
Rh 0.750 0.250 0.500

## Properties
- crystal system = tetragonal
- energy above the most stable polymorph in this dataset (meV/atom) = 2.8
- D(E_F) (states/eV/cell) = 3.83
- energy of formation (eV/atom) = 0.04
- total DFT energy (no corrections) (eV/f.u.) = -39.3

[14]
Below is a relaxed structure of TeAsC, with properties calculated at the PBE-GGA level.

a = 6.104 Å, b = 6.104 Å, c = 8.503 Å
α = 113.47°, β = 113.47°, γ = 38.33°
Fractional coordinates of all 6 atoms:
Te 0.210 0.210 0.123
Te 0.790 0.790 0.877
As 0.239 0.239 0.641
As 0.761 0.761 0.359
C 0.059 0.059 0.541
C 0.941 0.941 0.459

## Properties
- crystal system = monoclinic
- energy above the most stable polymorph in this dataset (meV/atom) = 29.1
- D(E_F) (states/eV/cell) = 0.14
- formation energy from raw total energies (eV/atom) = 0.5615
- total DFT energy (no corrections) (eV/f.u.) = -15.3

[15]
Below is a relaxed structure of NaIn11Ga, with properties calculated at the PBE-GGA level.

a = 8.304 Å, b = 8.304 Å, c = 8.220 Å
α = 96.09°, β = 96.09°, γ = 137.88°
Fractional coordinates of all 13 atoms:
Na 0.000 0.000 0.000
In 0.000 0.000 0.500
In 0.000 0.500 0.000
In 0.007 0.360 0.360
In 0.298 0.501 0.791
In 0.360 0.007 0.360
In 0.499 0.702 0.209
In 0.500 0.000 0.000
In 0.501 0.298 0.791
In 0.640 0.993 0.640
In 0.702 0.499 0.209
In 0.993 0.640 0.640
Ga 0.500 0.500 0.500

## Properties
- crystal system = monoclinic
- D(E_F) (states/eV/cell) = 5.46
- energy of formation (eV/atom) = 0.02
- total DFT energy (no corrections) (eV/f.u.) = -34.2

[16]
Below is a relaxed structure of NpV2Sn, with properties calculated at the PBE-GGA level.

a = 3.322 Å, b = 3.322 Å, c = 6.331 Å
α = 90.00°, β = 90.00°, γ = 90.00°
Fractional coordinates of all 4 atoms:
Np 0.000 0.000 0.000
V 0.500 0.500 0.216
V 0.500 0.500 0.784
Sn 0.000 0.000 0.500

## Properties
- crystal system = tetragonal
- energy above the most stable polymorph in this dataset (meV/atom) = 63.7
- D(E_F) (states/eV/cell) = 4.96
- energy of formation (eV/atom) = 0.23
- total DFT energy (no corrections) (eV/f.u.) = -34.2

[17]
Below is a relaxed structure of Pu2PaPdSe5, with properties calculated at the PBE-GGA level.

a = 8.794 Å, b = 8.794 Å, c = 12.469 Å
α = 90.00°, β = 90.00°, γ = 153.63°
Fractional coordinates of all 18 atoms:
Pu 0.102 0.898 0.500
Pu 0.121 0.879 0.848
Pu 0.879 0.121 0.348
Pu 0.898 0.102 0.000
Pa 0.182 0.818 0.168
Pa 0.818 0.182 0.668
Pd 0.435 0.565 0.571
Pd 0.565 0.435 0.071
Se 0.018 0.982 0.180
Se 0.296 0.704 0.502
Se 0.308 0.692 0.831
Se 0.347 0.653 0.169
Se 0.498 0.502 0.894
Se 0.502 0.498 0.394
Se 0.653 0.347 0.669
Se 0.692 0.308 0.331
Se 0.704 0.296 0.002
Se 0.982 0.018 0.680

## Properties
- crystal system = orthorhombic
- D(E_F) (states/eV/cell) = 45.62
- formation energy from raw total energies (eV/atom) = -1.2544
- total DFT energy (no corrections) (eV/f.u.) = -72.1

[18]
Below is a relaxed structure of AcPuNbN4, with properties calculated at the PBE-GGA level.

a = 7.122 Å, b = 7.122 Å, c = 5.814 Å
α = 90.00°, β = 90.00°, γ = 132.66°
Fractional coordinates of all 14 atoms:
Ac 0.109 0.891 0.750
Ac 0.891 0.109 0.250
Pu 0.397 0.603 0.750
Pu 0.603 0.397 0.250
Nb 0.231 0.769 0.250
Nb 0.769 0.231 0.750
N 0.000 0.500 0.000
N 0.000 0.500 0.500
N 0.083 0.917 0.250
N 0.446 0.554 0.250
N 0.500 0.000 0.000
N 0.500 0.000 0.500
N 0.554 0.446 0.750
N 0.917 0.083 0.750

## Properties
- crystal system = orthorhombic
- D(E_F) (states/eV/cell) = 15.60
- formation energy from raw total energies (eV/atom) = -0.9635
- total DFT energy (no corrections) (eV/f.u.) = -68.6

[19]
Below is a relaxed structure of ScGaTeW2, with properties calculated at the PBE-GGA level.

a = 4.815 Å, b = 4.815 Å, c = 4.948 Å
α = 90.00°, β = 90.00°, γ = 90.00°
Fractional coordinates of all 5 atoms:
Sc 0.000 0.000 0.000
Ga 0.000 0.000 0.500
Te 0.500 0.500 0.500
W 0.000 0.500 0.000
W 0.500 0.000 0.000

## Properties
- crystal system = tetragonal
- D(E_F) (states/eV/cell) = 5.51
- formation energy from raw total energies (eV/atom) = 1.9007
- total DFT energy (no corrections) (eV/f.u.) = -28.9

[20]
Below is a relaxed structure of MgNiHIr2, with properties calculated at the PBE-GGA level.

a = 3.959 Å, b = 3.959 Å, c = 3.728 Å
α = 90.00°, β = 90.00°, γ = 90.00°
Fractional coordinates of all 5 atoms:
Mg 0.000 0.000 0.000
Ni 0.500 0.500 0.000
H 0.500 0.500 0.500
Ir 0.000 0.500 0.500
Ir 0.500 0.000 0.500

## Properties
- crystal system = tetragonal
- energy above the most stable polymorph in this dataset (meV/atom) = 0.0
- D(E_F) (states/eV/cell) = 3.69
- total DFT energy (no corrections) (eV/f.u.) = -28.9

[21]
Below is a relaxed structure of AlCoNi2, with properties calculated at the PBE-GGA level.

a = 2.599 Å, b = 3.475 Å, c = 5.080 Å
α = 90.00°, β = 90.00°, γ = 90.00°
Fractional coordinates of all 4 atoms:
Al 0.000 0.000 0.000
Co 0.000 0.000 0.500
Ni 0.500 0.500 0.256
Ni 0.500 0.500 0.744

## Properties
- crystal system = orthorhombic
- D(E_F) (states/eV/cell) = 3.92
- energy of formation (eV/atom) = -0.27
- total DFT energy (no corrections) (eV/f.u.) = -23.5

[22]
Below is a relaxed structure of Sm4CdTc, with properties calculated at the PBE-GGA level.

a = 7.878 Å, b = 7.878 Å, c = 6.364 Å
α = 99.59°, β = 99.59°, γ = 111.76°
Fractional coordinates of all 12 atoms:
Sm 0.063 0.725 0.954
Sm 0.202 0.364 0.607
Sm 0.275 0.937 0.546
Sm 0.364 0.202 0.107
Sm 0.636 0.798 0.893
Sm 0.725 0.063 0.454
Sm 0.798 0.636 0.393
Sm 0.937 0.275 0.046
Cd 0.376 0.624 0.250
Cd 0.624 0.376 0.750
Tc 0.000 0.000 0.250
Tc 0.000 0.000 0.750

## Properties
- crystal system = monoclinic
- D(E_F) (states/eV/cell) = 12.14
- energy of formation (eV/atom) = -0.14
- total DFT energy (no corrections) (eV/f.u.) = -31.0

[23]
Below is a relaxed structure of InFeCu2, with properties calculated at the PBE-GGA level.

a = 9.616 Å, b = 9.616 Å, c = 9.616 Å
α = 157.86°, β = 157.86°, γ = 31.52°
Fractional coordinates of all 8 atoms:
In 0.000 0.000 0.000
In 0.750 0.250 0.500
Fe 0.250 0.750 0.500
Fe 0.500 0.500 0.000
Cu 0.143 0.625 0.018
Cu 0.375 0.393 0.518
Cu 0.607 0.125 0.982
Cu 0.875 0.857 0.482

## Properties
- crystal system = tetragonal
- D(E_F) (states/eV/cell) = 3.95
- energy of formation (eV/atom) = 0.45
- total DFT energy (no corrections) (eV/f.u.) = -17.6

[24]
Below is a relaxed structure of Y2SeS, with properties calculated at the PBE-GGA level.

a = 4.940 Å, b = 4.940 Å, c = 4.940 Å
α = 60.00°, β = 60.00°, γ = 60.00°
Fractional coordinates of all 4 atoms:
Y 0.250 0.250 0.250
Y 0.750 0.750 0.750
Se 0.000 0.000 0.000
S 0.500 0.500 0.500

## Properties
- crystal system = cubic
- energy above the most stable polymorph in this dataset (meV/atom) = 344.4
- D(E_F) (states/eV/cell) = 2.41
- formation energy from raw total energies (eV/atom) = -1.5578
- total DFT energy (no corrections) (eV/f.u.) = -26.8